Arrangement one

A relaxed structure of BaP2H4O8. Source: the Alexandria database, functional PBE.

a = 7.387 Å, b = 7.483 Å, c = 7.939 Å
α = 93.22°, β = 103.40°, γ = 104.66°
Sites, in units of the cell vectors:
Ba  0.713  0.779  0.866
Ba  0.287  0.221  0.134
P  0.745  0.242  0.919
P  0.255  0.758  0.081
P  0.765  0.656  0.403
P  0.235  0.344  0.597
H  0.904  0.401  0.744
H  0.096  0.599  0.256
H  0.379  0.169  0.764
H  0.621  0.831  0.236
H  0.500  0.500  0.500
H  0.000  0.500  0.500
H  0.785  0.402  0.179
H  0.215  0.598  0.821
O  0.681  0.340  0.072
O  0.319  0.660  0.928
O  0.907  0.156  0.986
O  0.093  0.844  0.014
O  0.815  0.417  0.819
O  0.185  0.583  0.181
O  0.561  0.102  0.810
O  0.439  0.898  0.190
O  0.736  0.773  0.243
O  0.264  0.227  0.757
O  0.574  0.497  0.379
O  0.426  0.503  0.621
O  0.923  0.558  0.369
O  0.077  0.442  0.631
O  0.176  0.230  0.422
O  0.824  0.770  0.578

Results
As for the symmetry: No. 2.

Arrangement two

A relaxed structure of BaP2H4O8. Source: the Alexandria database, functional PBE.

a = 7.740 Å, b = 8.682 Å, c = 10.826 Å
α = 90.00°, β = 90.00°, γ = 90.00°
Sites, in units of the cell vectors:
Ba  0.250  0.898  0.750
Ba  0.750  0.602  0.250
Ba  0.750  0.102  0.250
Ba  0.250  0.398  0.750
P  0.926  0.708  0.580
P  0.574  0.708  0.920
P  0.426  0.792  0.420
P  0.074  0.792  0.080
P  0.074  0.292  0.420
P  0.426  0.292  0.080
P  0.574  0.208  0.580
P  0.926  0.208  0.920
H  0.085  0.793  0.425
H  0.415  0.793  0.075
H  0.585  0.707  0.575
H  0.915  0.707  0.925
H  0.915  0.207  0.575
H  0.585  0.207  0.925
H  0.415  0.293  0.425
H  0.085  0.293  0.075
H  0.825  0.955  0.615
H  0.675  0.955  0.885
H  0.325  0.545  0.385
H  0.175  0.545  0.115
H  0.175  0.045  0.385
H  0.325  0.045  0.115
H  0.675  0.455  0.615
H  0.825  0.455  0.885
O  0.756  0.620  0.579
O  0.744  0.620  0.921
O  0.256  0.880  0.421
O  0.244  0.880  0.079
O  0.244  0.380  0.421
O  0.256  0.380  0.079
O  0.744  0.120  0.579
O  0.756  0.120  0.921
O  0.967  0.739  0.437
O  0.533  0.739  0.063
O  0.467  0.761  0.563
O  0.033  0.761  0.937
O  0.033  0.261  0.563
O  0.467  0.261  0.937
O  0.533  0.239  0.437
O  0.967  0.239  0.063
O  0.080  0.637  0.646
O  0.420  0.637  0.854
O  0.580  0.863  0.354
O  0.920  0.863  0.146
O  0.920  0.363  0.354
O  0.580  0.363  0.146
O  0.420  0.137  0.646
O  0.080  0.137  0.854
O  0.909  0.873  0.644
O  0.591  0.873  0.856
O  0.409  0.627  0.356
O  0.091  0.627  0.144
O  0.091  0.127  0.356
O  0.409  0.127  0.144
O  0.591  0.373  0.644
O  0.909  0.373  0.856

Results
As for the symmetry: No. 56.

Stability summary - winner: arrangement two; margin: 24 meV/atom.

Arrangement one

A relaxed structure of BaSiH2O4. Source: the Alexandria database, functional PBE.

a = 4.184 Å, b = 5.194 Å, c = 5.194 Å
α = 75.83°, β = 66.25°, γ = 66.25°
Sites, in units of the cell vectors:
Ba  0.000  0.000  0.000
Si  0.500  0.500  0.500
H  0.143  0.357  0.357
H  0.857  0.643  0.643
O  0.387  0.237  0.473
O  0.097  0.763  0.527
O  0.903  0.473  0.237
O  0.613  0.527  0.763

Results
As for the symmetry: No. 23.

Arrangement two

A relaxed structure of BaSiH2O4. Source: the Alexandria database, functional PBE.

a = 7.215 Å, b = 7.580 Å, c = 7.706 Å
α = 90.00°, β = 89.98°, γ = 77.15°
Sites, in units of the cell vectors:
Ba  0.082  0.789  0.209
Ba  0.918  0.211  0.791
Ba  0.418  0.712  0.709
Ba  0.582  0.288  0.291
Si  0.586  0.758  0.236
Si  0.414  0.242  0.764
Si  0.087  0.258  0.264
Si  0.913  0.742  0.736
H  0.768  0.593  0.010
H  0.232  0.407  0.990
H  0.269  0.094  0.490
H  0.731  0.906  0.510
H  0.105  0.525  0.570
H  0.895  0.475  0.430
H  0.605  0.025  0.929
H  0.395  0.975  0.071
O  0.698  0.906  0.310
O  0.302  0.094  0.690
O  0.962  0.168  0.132
O  0.038  0.832  0.868
O  0.740  0.586  0.141
O  0.260  0.414  0.859
O  0.445  0.845  0.062
O  0.555  0.155  0.938
O  0.945  0.345  0.438
O  0.055  0.655  0.562
O  0.198  0.406  0.190
O  0.802  0.594  0.810
O  0.461  0.669  0.368
O  0.539  0.331  0.632
O  0.241  0.087  0.359
O  0.759  0.913  0.641

Results
As for the symmetry: No. 2.

Stability summary - winner: arrangement two; margin: 141 meV/atom.

Arrangement one

A relaxed structure of BaHOs3. Source: the Alexandria database, functional PBE.

a = 4.270 Å, b = 4.270 Å, c = 4.270 Å
α = 90.00°, β = 90.00°, γ = 90.00°
Site moments in Bohr magnetons follow the coordinates.
Sites, in units of the cell vectors:
H  0.000  0.000  0.000  0.00
Os  0.000  0.500  0.000  0.55
Os  0.000  0.000  0.500  0.39
Os  0.500  0.000  0.000  0.34
Ba  0.500  0.500  0.500  0.02

Results
As for the symmetry: No. 221.

Arrangement two

A relaxed structure of BaHOs3. Source: the Alexandria database, functional PBE.

a = 5.233 Å, b = 5.233 Å, c = 5.233 Å
α = 90.00°, β = 90.00°, γ = 90.00°
Site moments in Bohr magnetons follow the coordinates.
Sites, in units of the cell vectors:
H  0.500  0.500  0.500  0.31
Os  0.000  0.500  0.000  2.00
Os  0.000  0.000  0.500  1.84
Os  0.500  0.000  0.000  1.92
Ba  0.000  0.000  0.000  -0.11

Results
As for the symmetry: No. 221.

Stability summary - winner: arrangement one; margin: 2824 meV/atom.